[1]
# GGA-PBE AlMo2Se, relaxed
data_AlMo2Se
_symmetry_space_group_name_H-M 'P 4 m m'
_symmetry_Int_Tables_number 99
_cell_length_a 3.2501
_cell_length_b 3.2501
_cell_length_c 5.9549
_cell_angle_alpha 90.00
_cell_angle_beta 90.00
_cell_angle_gamma 90.00
loop_
_symmetry_equiv_pos_as_xyz
'x,y,z'
'-y,x,z'
'-x,-y,z'
'y,-x,z'
'-x,y,z'
'y,x,z'
'x,-y,z'
'-y,-x,z'
loop_
_atom_site_label
_atom_site_fract_x
_atom_site_fract_y
_atom_site_fract_z
_atom_site_occupancy
Al1 0.0000 0.0000 0.0000 1
Mo1 0.0000 0.0000 0.4964 1
Mo2 0.5000 0.5000 0.2143 1
Se1 0.5000 0.5000 0.7121 1
# - Energy above the most stable polymorph in this dataset: 0.000 eV/atom
# - Uncorrected formation energy: -0.09 eV/atom


[2]
# GGA-PBE Cd2InRu, relaxed
data_Cd2InRu
_symmetry_space_group_name_H-M 'F -4 3 m'
_symmetry_Int_Tables_number 216
_symmetry_space_group_name_Hall 'F -4 2 3'
_cell_length_a 6.7129
_cell_length_b 6.7129
_cell_length_c 6.7129
_cell_angle_alpha 90.00
_cell_angle_beta 90.00
_cell_angle_gamma 90.00
loop_
_atom_site_label
_atom_site_fract_x
_atom_site_fract_y
_atom_site_fract_z
_atom_site_occupancy
Cd1 0.0000 0.0000 0.0000 1
Cd2 0.2500 0.2500 0.2500 1
In1 0.2500 0.2500 0.7500 1
Ru1 0.0000 0.0000 0.5000 1
# - Energy above the most stable polymorph in this dataset: 0.162 eV/atom
# - Calculated formation energy: 0.249 eV per atom


[3]
# GGA-PBE RbSrMn2Cl8, relaxed
data_RbSrMn2Cl8
_symmetry_space_group_name_H-M 'P -3'
_symmetry_Int_Tables_number 147
_cell_length_a 6.7836
_cell_length_b 6.7836
_cell_length_c 9.8220
_cell_angle_alpha 90.00
_cell_angle_beta 90.00
_cell_angle_gamma 120.00
loop_
_symmetry_equiv_pos_as_xyz
'x,y,z'
'-x,-y,-z'
'-y,x-y,z'
'y,-x+y,-z'
'-x+y,-x,z'
'x-y,x,-z'
loop_
_atom_site_label
_atom_site_fract_x
_atom_site_fract_y
_atom_site_fract_z
_atom_site_occupancy
Rb1 0.0000 0.0000 0.0000 1
Sr1 0.0000 0.0000 0.5000 1
Mn1 0.3333 0.6667 0.7533 1
Cl1 0.0096 0.3356 0.6890 1
Cl2 0.3333 0.6667 0.9790 1
# - Uncorrected formation energy: -1.50 eV/atom


[4]
# GGA-PBE AcLa4Tb4, relaxed
data_AcLa4Tb4
_symmetry_space_group_name_H-M 'P -1'
_symmetry_Int_Tables_number 2
_cell_length_a 6.3907
_cell_length_b 9.7675
_cell_length_c 11.0725
_cell_angle_alpha 100.71
_cell_angle_beta 106.73
_cell_angle_gamma 96.38
loop_
_symmetry_equiv_pos_as_xyz
'x,y,z'
'-x,-y,-z'
loop_
_atom_site_label
_atom_site_fract_x
_atom_site_fract_y
_atom_site_fract_z
_atom_site_occupancy
Ac1 0.2498 0.0824 0.3027 1
La1 0.2465 0.7450 0.0813 1
La2 0.2495 0.7437 0.7521 1
La3 0.2512 0.4172 0.5297 1
La4 0.2529 0.0874 0.6428 1
Tb1 0.2407 0.7435 0.4137 1
Tb2 0.2503 0.4213 0.1913 1
Tb3 0.2515 0.4161 0.8644 1
Tb4 0.2558 0.0851 0.9730 1
# - Calculated formation energy: 0.034 eV per atom


[5]
# GGA-PBE CaSm2Er, relaxed
data_CaSm2Er
_symmetry_space_group_name_H-M 'P 4/m m m'
_symmetry_Int_Tables_number 123
_symmetry_space_group_name_Hall '-P 4 2'
_cell_length_a 5.1981
_cell_length_b 5.1981
_cell_length_c 5.0313
_cell_angle_alpha 90.00
_cell_angle_beta 90.00
_cell_angle_gamma 90.00
loop_
_atom_site_label
_atom_site_fract_x
_atom_site_fract_y
_atom_site_fract_z
_atom_site_occupancy
Ca1 0.0000 0.0000 0.0000 1
Sm1 0.0000 0.5000 0.5000 1
Er1 0.5000 0.5000 0.0000 1
# - Energy above the most stable polymorph in this dataset: 0.065 eV/atom
# - Calculated formation energy: 0.113 eV per atom


[6]
# GGA-PBE TaPI2, relaxed
data_TaPI2
_symmetry_space_group_name_H-M 'I -4 2 d'
_symmetry_Int_Tables_number 122
_symmetry_space_group_name_Hall 'I -4 2bw'
_cell_length_a 10.3935
_cell_length_b 10.3935
_cell_length_c 4.7913
_cell_angle_alpha 90.00
_cell_angle_beta 90.00
_cell_angle_gamma 90.00
loop_
_atom_site_label
_atom_site_fract_x
_atom_site_fract_y
_atom_site_fract_z
_atom_site_occupancy
Ta1 0.0000 0.0000 0.0000 1
P1 0.0000 0.0000 0.5000 1
I1 0.0994 0.2500 0.1250 1
# - Energy above the most stable polymorph in this dataset: 0.000 eV/atom
# - Uncorrected formation energy: 0.16 eV/atom


[7]
# GGA-PBE NaCdRh, relaxed
data_NaCdRh
_symmetry_space_group_name_H-M 'P 62 2 2'
_symmetry_Int_Tables_number 180
_symmetry_space_group_name_Hall 'P 62 2 (0 0 4)'
_cell_length_a 6.1535
_cell_length_b 6.1535
_cell_length_c 12.5181
_cell_angle_alpha 90.00
_cell_angle_beta 90.00
_cell_angle_gamma 120.00
loop_
_atom_site_label
_atom_site_fract_x
_atom_site_fract_y
_atom_site_fract_z
_atom_site_occupancy
Na1 0.0000 0.0000 0.0000 1
Na2 0.0000 0.5000 0.1667 1
Cd1 0.0000 0.5000 0.4699 1
Rh1 0.2373 0.6187 0.6667 1
# - Energy above the most stable polymorph in this dataset: 0.000 eV/atom
# - Calculated formation energy: 0.107 eV per atom


[8]
# GGA-PBE Sb2W, relaxed
data_Sb2W
_symmetry_space_group_name_H-M 'P 63/m m c'
_symmetry_Int_Tables_number 194
_symmetry_space_group_name_Hall '-P 6c 2c'
_cell_length_a 5.0127
_cell_length_b 5.0127
_cell_length_c 6.0449
_cell_angle_alpha 90.00
_cell_angle_beta 90.00
_cell_angle_gamma 120.00
loop_
_atom_site_label
_atom_site_fract_x
_atom_site_fract_y
_atom_site_fract_z
_atom_site_occupancy
Sb1 0.0000 0.0000 0.0000 1
Sb2 0.3333 0.6667 0.2500 1
W1 0.3333 0.6667 0.7500 1
# - Energy above the most stable polymorph in this dataset: 0.669 eV/atom
# - Uncorrected formation energy: 0.95 eV/atom


[9]
# GGA-PBE Y2CuMo2, relaxed
data_Y2CuMo2
_symmetry_space_group_name_H-M 'I 4/m m m'
_symmetry_Int_Tables_number 139
_symmetry_space_group_name_Hall '-I 4 2'
_cell_length_a 4.3791
_cell_length_b 4.3791
_cell_length_c 12.7133
_cell_angle_alpha 90.00
_cell_angle_beta 90.00
_cell_angle_gamma 90.00
loop_
_atom_site_label
_atom_site_fract_x
_atom_site_fract_y
_atom_site_fract_z
_atom_site_occupancy
Y1 0.0000 0.5000 0.2500 1
Cu1 0.0000 0.0000 0.0000 1
Mo1 0.0000 0.0000 0.4175 1
# - Energy above the most stable polymorph in this dataset: 0.949 eV/atom
# - Calculated formation energy: 1.276 eV per atom


[10]
# GGA-PBE LiTmNi4, relaxed
data_LiTmNi4
_symmetry_space_group_name_H-M 'F -4 3 m'
_symmetry_Int_Tables_number 216
_symmetry_space_group_name_Hall 'F -4 2 3'
_cell_length_a 6.8820
_cell_length_b 6.8820
_cell_length_c 6.8820
_cell_angle_alpha 90.00
_cell_angle_beta 90.00
_cell_angle_gamma 90.00
loop_
_atom_site_label
_atom_site_fract_x
_atom_site_fract_y
_atom_site_fract_z
_atom_site_occupancy
Li1 0.0000 0.0000 0.0000 1
Tm1 0.2500 0.2500 0.2500 1
Ni1 0.1255 0.1255 0.6255 1
# - Calculated formation energy: -0.353 eV per atom


[11]
# GGA-PBE RbMn2PN, relaxed
data_RbMn2PN
_symmetry_space_group_name_H-M 'P 4/m m m'
_symmetry_Int_Tables_number 123
_symmetry_space_group_name_Hall '-P 4 2'
_cell_length_a 5.2322
_cell_length_b 5.2322
_cell_length_c 4.0665
_cell_angle_alpha 90.00
_cell_angle_beta 90.00
_cell_angle_gamma 90.00
loop_
_atom_site_label
_atom_site_fract_x
_atom_site_fract_y
_atom_site_fract_z
_atom_site_occupancy
Rb1 0.0000 0.0000 0.0000 1
Mn1 0.0000 0.5000 0.0000 1
P1 0.5000 0.5000 0.5000 1
N1 0.0000 0.0000 0.5000 1
# - Uncorrected formation energy: 2.54 eV/atom


[12]
# GGA-PBE Hg2Te2O7, relaxed
data_Hg2Te2O7
_symmetry_space_group_name_H-M 'A e a 2'
_symmetry_Int_Tables_number 41
_cell_length_a 7.5713
_cell_length_b 24.1523
_cell_length_c 13.9702
_cell_angle_alpha 90.00
_cell_angle_beta 90.00
_cell_angle_gamma 90.00
loop_
_symmetry_equiv_pos_as_xyz
'x,y,z'
'-x,-y,z'
'-x+1/2,y+1/2,z'
'x+1/2,-y+1/2,z'
'x,y+1/2,z+1/2'
'-x,-y+1/2,z+1/2'
'-x+1/2,y,z+1/2'
'x+1/2,-y,z+1/2'
loop_
_atom_site_label
_atom_site_fract_x
_atom_site_fract_y
_atom_site_fract_z
_atom_site_occupancy
Hg1 0.0000 0.0000 0.0000 1
Hg2 0.0000 0.0000 0.4924 1
Hg3 0.0204 0.2456 0.2997 1
Hg4 0.0483 0.1301 0.6575 1
Hg5 0.0509 0.3805 0.6510 1
Te1 0.2392 0.2516 0.0647 1
Te2 0.2424 0.1147 0.9184 1
Te3 0.2500 0.0010 0.2422 1
Te4 0.2503 0.3619 0.3885 1
O1 0.0000 0.0000 0.2891 1
O2 0.0000 0.0000 0.6968 1
O3 0.0078 0.2764 0.5636 1
O4 0.0426 0.0968 0.9962 1
O5 0.0451 0.3343 0.3220 1
O6 0.0552 0.3421 0.8030 1
O7 0.0602 0.0837 0.4906 1
O8 0.1897 0.1800 0.5117 1
O9 0.1940 0.3277 0.1060 1
O10 0.1951 0.0306 0.8716 1
O11 0.1947 0.4686 0.6201 1
O12 0.2104 0.4266 0.2918 1
O13 0.2186 0.2775 0.9301 1
O14 0.2263 0.0781 0.2002 1
O15 0.2338 0.2228 0.6924 1
# - Energy above the most stable polymorph in this dataset: 0.000 eV/atom
# - Uncorrected formation energy: -0.73 eV/atom


Table of raw total energy (eV per atom), in record order: -7.3117; -3.2126; -4.4765; -4.6700; -3.8876; -4.9287; -3.0882; -6.1183; -6.4613; -5.2719; -4.0721; -4.5088